Record 1
The following is a PBE calculation of Tm2TlHg9 after structural relaxation, from the Alexandria database.

Properties
For the calculated formation energy, the calculation gives -0.185 eV/atom. As for the total energy: -1.354 eV per atom.

The structure in POSCAR format:
```
Tm2TlHg9
1.0
-1.372 -1.181 4.145
-2.772 -3.089 -1.797
10.794 -10.090 0.699
Hg Tm Tl
9 2 1
Direct
0.500 0.500 0.348
0.500 0.500 0.652
0.000 0.500 0.819
0.500 0.000 0.819
0.500 0.000 0.181
0.500 0.500 0.000
0.000 0.500 0.500
0.500 0.000 0.500
0.000 0.500 0.181
0.000 0.000 0.334
0.000 0.000 0.666
0.000 0.000 0.000
```

=====

Record 2
The following is a PBE calculation of TmTl3Hg12 after structural relaxation, from the Alexandria database.

Properties
For the calculated formation energy, the calculation gives -0.078 eV/atom. As for the total energy: -1.027 eV per atom.

The structure in POSCAR format:
```
TmTl3Hg12
1.0
4.357 0.000 0.000
0.000 4.749 0.000
0.000 0.000 20.909
Tl Hg Tm
3 12 1
Direct
0.000 0.000 0.500
0.000 0.000 0.239
0.000 0.000 0.761
0.000 0.500 0.113
0.500 0.000 0.633
0.000 0.500 0.631
0.500 0.000 0.367
0.500 0.500 0.500
0.500 0.500 0.000
0.500 0.500 0.238
0.500 0.500 0.762
0.000 0.500 0.887
0.500 0.000 0.888
0.000 0.500 0.369
0.500 0.000 0.112
0.000 0.000 0.000
```

=====

Record 3
The following is a PBE calculation of Tm6TlHg8 after structural relaxation, from the Alexandria database.

Properties
For the calculated formation energy, the calculation gives -0.296 eV/atom. As for the total energy: -2.403 eV per atom.

The structure in POSCAR format:
```
Tm6TlHg8
1.0
7.282 -0.004 3.219
2.095 6.974 3.219
-0.006 -0.004 7.962
Tm Hg Tl
6 8 1
Direct
0.388 0.687 0.114
0.886 0.612 0.313
0.313 0.886 0.612
0.687 0.114 0.388
0.114 0.388 0.687
0.612 0.313 0.886
0.813 0.449 0.072
0.302 0.302 0.302
0.698 0.698 0.698
0.072 0.813 0.449
0.449 0.072 0.813
0.928 0.187 0.551
0.187 0.551 0.928
0.551 0.928 0.187
0.000 0.000 0.000
```

=====

Record 4
The following is a PBE calculation of Tm2Tl2Hg after structural relaxation, from the Alexandria database.

Properties
For the calculated formation energy, the calculation gives -0.219 eV/atom. As for the total energy: -3.015 eV per atom.

The structure in POSCAR format:
```
Tm2Tl2Hg
1.0
3.545 0.000 0.000
0.000 3.554 0.673
0.000 -0.193 10.733
Tm Tl Hg
2 2 1
Direct
0.500 0.590 0.820
0.500 0.410 0.180
0.000 0.188 0.623
0.000 0.812 0.377
0.000 0.000 0.000
```

=====

Record 5
The following is a PBE calculation of Tm2Tl3Hg after structural relaxation, from the Alexandria database.

Properties
For the calculated formation energy, the calculation gives -0.141 eV/atom. As for the total energy: -2.865 eV per atom.

The structure in POSCAR format:
```
Tm2Tl3Hg
1.0
-1.765 -4.159 -4.777
-3.374 -3.595 4.376
-3.547 7.999 -1.129
Hg Tl Tm
2 6 4
Direct
0.000 0.750 0.000
0.000 0.250 0.000
0.096 0.850 0.699
0.500 0.750 0.000
0.604 0.350 0.699
0.396 0.650 0.301
0.500 0.250 0.000
0.904 0.150 0.301
0.389 0.147 0.293
0.096 0.353 0.707
0.611 0.853 0.707
0.904 0.647 0.293
```

=====

Record 6
The following is a PBE calculation of TmTlHg2 after structural relaxation, from the Alexandria database.

Properties
For the calculated formation energy, the calculation gives -0.168 eV/atom. As for the total energy: -2.028 eV per atom.

The structure in POSCAR format:
```
TmTlHg2
1.0
-1.252 3.487 -0.256
-1.283 1.279 -3.242
-9.312 -1.289 1.048
Tl Hg Tm
1 2 1
Direct
0.499 0.499 0.502
0.080 0.080 0.760
0.254 0.254 0.239
0.667 0.667 0.999
```